Record 1
# MnZnHg2 | the Alexandria database | GGA-PBE | relaxed
data_MnZnHg2
_chemical_formula_sum 'Mn1 Zn1 Hg2'
_cell_length_a 5.214
_cell_length_b 5.214
_cell_length_c 5.214
_cell_angle_alpha 132.49
_cell_angle_beta 132.49
_cell_angle_gamma 69.45
_space_group_name_H-M_alt 'P 1'
_space_group_IT_number 1
loop_
_space_group_symop_operation_xyz
'x,y,z'
loop_
_atom_site_label
_atom_site_type_symbol
_atom_site_fract_x
_atom_site_fract_y
_atom_site_fract_z
_atom_site_occupancy
Mn1 Mn 0.000 0.000 0.000 1
Zn1 Zn 0.250 0.750 0.500 1
Hg1 Hg 0.500 0.500 0.000 1
Hg2 Hg 0.750 0.250 0.500 1
# distance to the lowest polymorph of the same formula: 0.0797 eV per atom

***

Record 2
# Cs3Nd3SbSe8 | the Alexandria database | GGA-PBE | relaxed
data_Cs3Nd3SbSe8
_chemical_formula_sum 'Cs3 Nd3 Sb1 Se8'
_cell_length_a 9.915
_cell_length_b 9.915
_cell_length_c 9.915
_cell_angle_alpha 51.58
_cell_angle_beta 51.58
_cell_angle_gamma 51.58
_space_group_name_H-M_alt 'P 1'
_space_group_IT_number 1
loop_
_space_group_symop_operation_xyz
'x,y,z'
loop_
_atom_site_label
_atom_site_type_symbol
_atom_site_fract_x
_atom_site_fract_y
_atom_site_fract_z
_atom_site_occupancy
Cs1 Cs 0.000 0.500 0.500 1
Cs2 Cs 0.500 0.000 0.500 1
Cs3 Cs 0.500 0.500 0.000 1
Nd1 Nd 0.000 0.000 0.500 1
Nd2 Nd 0.000 0.500 0.000 1
Nd3 Nd 0.500 0.000 0.000 1
Sb1 Sb 0.500 0.500 0.500 1
Se1 Se 0.230 0.230 0.230 1
Se2 Se 0.244 0.719 0.719 1
Se3 Se 0.281 0.281 0.756 1
Se4 Se 0.281 0.756 0.281 1
Se5 Se 0.719 0.244 0.719 1
Se6 Se 0.719 0.719 0.244 1
Se7 Se 0.756 0.281 0.281 1
Se8 Se 0.770 0.770 0.770 1
# raw formation energy: -1.4054 eV per atom

***

Record 3
# NbRe2B2 | the Alexandria database | GGA-PBE | relaxed
data_NbRe2B2
_chemical_formula_sum 'Nb2 Re4 B4'
_cell_length_a 6.304
_cell_length_b 6.304
_cell_length_c 2.971
_cell_angle_alpha 90.00
_cell_angle_beta 90.00
_cell_angle_gamma 90.00
_space_group_name_H-M_alt 'P 1'
_space_group_IT_number 1
loop_
_space_group_symop_operation_xyz
'x,y,z'
loop_
_atom_site_label
_atom_site_type_symbol
_atom_site_fract_x
_atom_site_fract_y
_atom_site_fract_z
_atom_site_occupancy
Nb1 Nb 0.000 0.000 0.000 1
Nb2 Nb 0.500 0.500 0.000 1
Re1 Re 0.151 0.349 0.500 1
Re2 Re 0.349 0.849 0.500 1
Re3 Re 0.651 0.151 0.500 1
Re4 Re 0.849 0.651 0.500 1
B1 B 0.136 0.636 0.000 1
B2 B 0.364 0.136 0.000 1
B3 B 0.636 0.864 0.000 1
B4 B 0.864 0.364 0.000 1
# E: -9.864 eV/atom

***

Record 4
# Na2SrPuBr8 | the Alexandria database | GGA-PBE | relaxed
data_Na2SrPuBr8
_chemical_formula_sum 'Na2 Sr1 Pu1 Br8'
_cell_length_a 6.865
_cell_length_b 8.999
_cell_length_c 7.100
_cell_angle_alpha 90.00
_cell_angle_beta 92.91
_cell_angle_gamma 90.00
_space_group_name_H-M_alt 'P 1'
_space_group_IT_number 1
loop_
_space_group_symop_operation_xyz
'x,y,z'
loop_
_atom_site_label
_atom_site_type_symbol
_atom_site_fract_x
_atom_site_fract_y
_atom_site_fract_z
_atom_site_occupancy
Na1 Na 0.000 0.238 0.000 1
Na2 Na 0.000 0.762 0.000 1
Sr1 Sr 0.500 0.000 0.500 1
Pu1 Pu 0.500 0.500 0.500 1
Br1 Br 0.225 0.000 0.167 1
Br2 Br 0.245 0.500 0.186 1
Br3 Br 0.279 0.277 0.659 1
Br4 Br 0.279 0.723 0.659 1
Br5 Br 0.721 0.277 0.341 1
Br6 Br 0.721 0.723 0.341 1
Br7 Br 0.755 0.500 0.814 1
Br8 Br 0.775 0.000 0.833 1
# raw formation energy: -1.5559 eV per atom